{
  "formula": "RbPbAu3O4",
  "functional": "GGA-PBE",
  "state": "optimized geometry",
  "e_tot_ev_per_atom": -3.800,
  "lattice": [[5.866, 0.000, 0.000], [0.000, 5.866, 0.000], [0.000, 0.000, 5.866]],
  "species": ["Rb", "Pb", "Au", "Au", "Au", "O", "O", "O", "O"],
  "frac_coords": [[0.000, 0.000, 0.000], [0.500, 0.500, 0.500], [0.000, 0.500, 0.500], [0.500, 0.000, 0.500], [0.500, 0.500, 0.000], [0.290, 0.290, 0.290], [0.290, 0.710, 0.710], [0.710, 0.290, 0.710], [0.710, 0.710, 0.290]]
}